DFT (GGA-PBE) results for an optimized crystal structure of La3SmHo.

```
data_La3SmHo
_cell_length_a 15.6610
_cell_length_b 13.7054
_cell_length_c 6.7351
_cell_angle_alpha 90.00
_cell_angle_beta 104.85
_cell_angle_gamma 90.00
_symmetry_space_group_name_H-M 'C 1 2/c 1'
_symmetry_Int_Tables_number 15
loop_
_symmetry_equiv_pos_as_xyz
'x,y,z'
'-x,-y,-z'
'-x,y,-z+1/2'
'x,-y,z+1/2'
'x+1/2,y+1/2,z'
'-x+1/2,-y+1/2,-z'
'-x+1/2,y+1/2,-z+1/2'
'x+1/2,-y+1/2,z+1/2'
loop_
_atom_site_label
_atom_site_type_symbol
_atom_site_fract_x
_atom_site_fract_y
_atom_site_fract_z
La1 La 0.0970 0.1836 0.4381
La2 La 0.2004 0.3117 0.1523
La3 La 0.1998 0.4376 0.6513
Sm1 Sm 0.0000 0.3084 0.7500
Sm2 Sm 0.0000 0.4347 0.2500
Ho1 Ho 0.0985 0.0686 0.9401
```

Values from the calculation:
As for the offset from the most stable computed form: 0.00 eV per formula unit. The calculation puts the total energy at -4.762 eV/atom.

=====

DFT (GGA-PBE) results for an optimized crystal structure of La4Sm4Ho3.

```
data_La4Sm4Ho3
_cell_length_a 10.8286
_cell_length_b 5.7826
_cell_length_c 12.1353
_cell_angle_alpha 90.00
_cell_angle_beta 90.00
_cell_angle_gamma 90.00
_symmetry_space_group_name_H-M 'A m m 2'
_symmetry_Int_Tables_number 38
loop_
_symmetry_equiv_pos_as_xyz
'x,y,z'
'-x,-y,z'
'-x,y,z'
'x,-y,z'
'x,y+1/2,z+1/2'
'-x,-y+1/2,z+1/2'
'-x,y+1/2,z+1/2'
'x,-y+1/2,z+1/2'
loop_
_atom_site_label
_atom_site_type_symbol
_atom_site_fract_x
_atom_site_fract_y
_atom_site_fract_z
La1 La 0.0000 0.0000 0.0000
La2 La 0.2003 0.0000 0.8035
La3 La 0.5000 0.0000 0.9267
Sm1 Sm 0.0000 0.0000 0.5890
Sm2 Sm 0.3041 0.0000 0.1488
Sm3 Sm 0.5000 0.0000 0.6520
Ho1 Ho 0.0000 0.0000 0.2957
Ho2 Ho 0.2881 0.0000 0.4544
```

Values from the calculation:
As for the offset from the most stable computed form: 0.25 eV per formula unit. The calculation puts the total energy at -4.617 eV/atom.

=====

DFT (GGA-PBE) results for an optimized crystal structure of La4Sm3Ho4.

```
data_La4Sm3Ho4
_cell_length_a 10.8226
_cell_length_b 5.7865
_cell_length_c 12.0776
_cell_angle_alpha 90.00
_cell_angle_beta 90.00
_cell_angle_gamma 90.00
_symmetry_space_group_name_H-M 'A m m 2'
_symmetry_Int_Tables_number 38
loop_
_symmetry_equiv_pos_as_xyz
'x,y,z'
'-x,-y,z'
'-x,y,z'
'x,-y,z'
'x,y+1/2,z+1/2'
'-x,-y+1/2,z+1/2'
'-x,y+1/2,z+1/2'
'x,-y+1/2,z+1/2'
loop_
_atom_site_label
_atom_site_type_symbol
_atom_site_fract_x
_atom_site_fract_y
_atom_site_fract_z
La1 La 0.0000 0.0000 0.0000
La2 La 0.2071 0.0000 0.8028
La3 La 0.5000 0.0000 0.9189
Sm1 Sm 0.0000 0.0000 0.2934
Sm2 Sm 0.2888 0.0000 0.4545
Ho1 Ho 0.0000 0.0000 0.5951
Ho2 Ho 0.3066 0.0000 0.1482
Ho3 Ho 0.5000 0.0000 0.6455
```

Values from the calculation:
As for the offset from the most stable computed form: 1.36 eV per formula unit. The calculation puts the total energy at -4.594 eV/atom.

=====

DFT (GGA-PBE) results for an optimized crystal structure of La12Sm5Ho2.

```
data_La12Sm5Ho2
_cell_length_a 20.8045
_cell_length_b 11.2890
_cell_length_c 5.9700
_cell_angle_alpha 90.00
_cell_angle_beta 105.93
_cell_angle_gamma 90.00
_symmetry_space_group_name_H-M 'C 1 2/m 1'
_symmetry_Int_Tables_number 12
loop_
_symmetry_equiv_pos_as_xyz
'x,y,z'
'-x,-y,-z'
'-x,y,-z'
'x,-y,z'
'x+1/2,y+1/2,z'
'-x+1/2,-y+1/2,-z'
'-x+1/2,y+1/2,-z'
'x+1/2,-y+1/2,z'
loop_
_atom_site_label
_atom_site_type_symbol
_atom_site_fract_x
_atom_site_fract_y
_atom_site_fract_z
La1 La 0.0778 0.0000 0.1578
La2 La 0.0879 0.2111 0.6113
La3 La 0.1188 0.5000 0.0090
La4 La 0.1979 0.2289 0.2045
Sm1 Sm 0.0000 0.5000 0.5000
Sm2 Sm 0.1874 0.5000 0.5795
Sm3 Sm 0.2080 0.0000 0.7915
Ho1 Ho 0.0000 0.2901 0.0000
```

Values from the calculation:
As for the offset from the most stable computed form: 0.00 eV per formula unit. The calculation puts the total energy at -4.724 eV/atom.

=====

> Among the records above, which one has the highest offset from the most stable computed form?

La4Sm3Ho4

=====

Please write out number 4 again, unchanged.
DFT (GGA-PBE) results for an optimized crystal structure of La12Sm5Ho2.

```
data_La12Sm5Ho2
_cell_length_a 20.8045
_cell_length_b 11.2890
_cell_length_c 5.9700
_cell_angle_alpha 90.00
_cell_angle_beta 105.93
_cell_angle_gamma 90.00
_symmetry_space_group_name_H-M 'C 1 2/m 1'
_symmetry_Int_Tables_number 12
loop_
_symmetry_equiv_pos_as_xyz
'x,y,z'
'-x,-y,-z'
'-x,y,-z'
'x,-y,z'
'x+1/2,y+1/2,z'
'-x+1/2,-y+1/2,-z'
'-x+1/2,y+1/2,-z'
'x+1/2,-y+1/2,z'
loop_
_atom_site_label
_atom_site_type_symbol
_atom_site_fract_x
_atom_site_fract_y
_atom_site_fract_z
La1 La 0.0778 0.0000 0.1578
La2 La 0.0879 0.2111 0.6113
La3 La 0.1188 0.5000 0.0090
La4 La 0.1979 0.2289 0.2045
Sm1 Sm 0.0000 0.5000 0.5000
Sm2 Sm 0.1874 0.5000 0.5795
Sm3 Sm 0.2080 0.0000 0.7915
Ho1 Ho 0.0000 0.2901 0.0000
```

Values from the calculation:
As for the offset from the most stable computed form: 0.00 eV per formula unit. The calculation puts the total energy at -4.724 eV/atom.

=====

Copy entry 3 word for word.
DFT (GGA-PBE) results for an optimized crystal structure of La4Sm3Ho4.

```
data_La4Sm3Ho4
_cell_length_a 10.8226
_cell_length_b 5.7865
_cell_length_c 12.0776
_cell_angle_alpha 90.00
_cell_angle_beta 90.00
_cell_angle_gamma 90.00
_symmetry_space_group_name_H-M 'A m m 2'
_symmetry_Int_Tables_number 38
loop_
_symmetry_equiv_pos_as_xyz
'x,y,z'
'-x,-y,z'
'-x,y,z'
'x,-y,z'
'x,y+1/2,z+1/2'
'-x,-y+1/2,z+1/2'
'-x,y+1/2,z+1/2'
'x,-y+1/2,z+1/2'
loop_
_atom_site_label
_atom_site_type_symbol
_atom_site_fract_x
_atom_site_fract_y
_atom_site_fract_z
La1 La 0.0000 0.0000 0.0000
La2 La 0.2071 0.0000 0.8028
La3 La 0.5000 0.0000 0.9189
Sm1 Sm 0.0000 0.0000 0.2934
Sm2 Sm 0.2888 0.0000 0.4545
Ho1 Ho 0.0000 0.0000 0.5951
Ho2 Ho 0.3066 0.0000 0.1482
Ho3 Ho 0.5000 0.0000 0.6455
```

Values from the calculation:
As for the offset from the most stable computed form: 1.36 eV per formula unit. The calculation puts the total energy at -4.594 eV/atom.

=====

Please write out number 4 again, unchanged.
DFT (GGA-PBE) results for an optimized crystal structure of La12Sm5Ho2.

```
data_La12Sm5Ho2
_cell_length_a 20.8045
_cell_length_b 11.2890
_cell_length_c 5.9700
_cell_angle_alpha 90.00
_cell_angle_beta 105.93
_cell_angle_gamma 90.00
_symmetry_space_group_name_H-M 'C 1 2/m 1'
_symmetry_Int_Tables_number 12
loop_
_symmetry_equiv_pos_as_xyz
'x,y,z'
'-x,-y,-z'
'-x,y,-z'
'x,-y,z'
'x+1/2,y+1/2,z'
'-x+1/2,-y+1/2,-z'
'-x+1/2,y+1/2,-z'
'x+1/2,-y+1/2,z'
loop_
_atom_site_label
_atom_site_type_symbol
_atom_site_fract_x
_atom_site_fract_y
_atom_site_fract_z
La1 La 0.0778 0.0000 0.1578
La2 La 0.0879 0.2111 0.6113
La3 La 0.1188 0.5000 0.0090
La4 La 0.1979 0.2289 0.2045
Sm1 Sm 0.0000 0.5000 0.5000
Sm2 Sm 0.1874 0.5000 0.5795
Sm3 Sm 0.2080 0.0000 0.7915
Ho1 Ho 0.0000 0.2901 0.0000
```

Values from the calculation:
As for the offset from the most stable computed form: 0.00 eV per formula unit. The calculation puts the total energy at -4.724 eV/atom.